Here is a relaxed KZnRh2 crystal from the Alexandria database. Energies are from PBE.

```
data_KZnRh2
_cell_length_a 2.8901
_cell_length_b 2.8901
_cell_length_c 28.5015
_cell_angle_alpha 90.00
_cell_angle_beta 90.00
_cell_angle_gamma 120.00
_symmetry_space_group_name_H-M 'R -3 m'
_symmetry_Int_Tables_number 166
_symmetry_space_group_name_Hall '-R 3 2"'
loop_
_atom_site_label
_atom_site_type_symbol
_atom_site_fract_x
_atom_site_fract_y
_atom_site_fract_z
_atom_site_occupancy
K1 K 0.0000 0.0000 0.0000 1
Zn1 Zn 0.0000 0.0000 0.5000 1
Rh1 Rh 0.0000 0.0000 0.2367 1
```

Output
- electronic total energy (eV per atom) = -3.988
- DOS(E_F) (states/eV per atom) = 0.9811
- formation energy (eV/f.u.) = 1.12